[1]
Entry from the Alexandria database: crystalline Ce3PrHo4P8 at its relaxed geometry (PBE).

Results
**Volume**: 375.9 Å³/f.u.
**Formation energy**: -1.557 eV per atom
**Symmetry**: R-3m, No. 166

a = 8.1094 Å, b = 8.0925 Å, c = 8.1092 Å
α = 120.07°, β = 120.00°, γ = 90.00°
Last column: magnetic moment on the atom in μB.
Sites, in units of the cell vectors:
P1 0.2545 0.7567 0.0023  -0.01
P2 0.2545 0.7567 0.5091  -0.01
P3 0.2483 0.2450 0.4966  -0.01
P4 0.7455 0.2433 0.9977  -0.01
P5 0.2523 0.2433 0.9977  -0.01
P6 0.7455 0.2433 0.4909  -0.01
P7 0.7517 0.7550 0.5034  -0.01
P8 0.7477 0.7567 0.0023  -0.01
Pr1 0.0000 0.5000 0.0000  0.01
Ho1 0.0000 0.0000 0.0000  0.01
Ho2 0.5000 0.0000 0.5000  0.01
Ho3 0.5000 0.0000 0.0000  0.00
Ho4 0.0000 0.0000 0.5000  0.01
Ce1 0.5000 0.5000 0.0000  0.45
Ce2 0.5000 0.5000 0.5000  0.45
Ce3 0.0000 0.5000 0.5000  0.45



[2]
Entry from the Alexandria database: crystalline SrLa2Sb at its relaxed geometry (PBE).

Results
**E_form (uncorrected)**: -0.451 eV per atom
**Volume**: 174.8 Å³/f.u.
**Symmetry**: R-3m, No. 166

a = 11.0573 Å, b = 11.0573 Å, c = 11.0573 Å
α = 22.58°, β = 22.58°, γ = 22.58°
Sites, in units of the cell vectors:
La1 0.5236 0.5236 0.5236
La2 0.9764 0.9764 0.9764
Sr1 0.7500 0.7500 0.7500
Sb1 0.2500 0.2500 0.2500



no.,spin magnetization (μB/f.u.)
1,1.5
2,0.2